# 1
BP2AuCl | PBE | relaxed

## Properties
Its energy above the most stable polymorph in this dataset is 0 meV/atom. For the uncorrected formation energy, the calculation gives 0.881 eV per atom. Its energy is -3.643 eV/atom. The density of states at the Fermi level is 2.5 states/eV/cell.

Structure (extended XYZ):
```
5
Lattice="4.281 0.000 0.000 0.000 4.281 0.000 0.000 0.000 4.191" Properties=species:S:1:pos:R:3 pbc="T T T"
B 0.000 0.000 0.000
P 0.000 2.141 0.000
P 2.141 0.000 0.000
Au 2.141 2.141 2.095
Cl 0.000 0.000 2.095
```



# 2
BPAuCl2 | PBE | relaxed

## Properties
Its energy above the most stable polymorph in this dataset is 548 meV/atom. For the uncorrected formation energy, the calculation gives 1.278 eV per atom. Its energy is -2.534 eV/atom. The density of states at the Fermi level is 2.4 states/eV/cell.

Structure (extended XYZ):
```
5
Lattice="5.201 0.000 0.000 0.000 5.201 0.000 0.000 0.000 4.729" Properties=species:S:1:pos:R:3 pbc="T T T"
B 0.000 0.000 0.000
P 2.601 2.601 0.000
Au 2.601 2.601 2.365
Cl 0.000 2.601 2.365
Cl 2.601 0.000 2.365
```



# 3
BPAuCl2 | PBE | relaxed

## Properties
Its energy above the most stable polymorph in this dataset is 0 meV/atom. For the uncorrected formation energy, the calculation gives 0.730 eV per atom. Its energy is -3.082 eV/atom. The density of states at the Fermi level is 1.7 states/eV/cell.

Structure (extended XYZ):
```
5
Lattice="4.071 0.000 0.000 0.000 4.071 0.000 0.000 0.000 5.074" Properties=species:S:1:pos:R:3 pbc="T T T"
B 0.000 0.000 0.000
P 0.000 0.000 2.537
Au 2.035 2.035 2.537
Cl 0.000 2.035 0.000
Cl 2.035 0.000 0.000
```



# 4
BPb2AuCl | PBE | relaxed

## Properties
For the uncorrected formation energy, the calculation gives 1.119 eV per atom. Its energy is -2.725 eV/atom. The density of states at the Fermi level is 5.5 states/eV/cell.

Structure (extended XYZ):
```
5
Lattice="5.606 0.000 0.000 0.000 5.606 0.000 0.000 0.000 4.994" Properties=species:S:1:pos:R:3 pbc="T T T"
B 0.000 0.000 0.000
Pb 0.000 2.803 2.497
Pb 2.803 0.000 2.497
Au 2.803 2.803 2.497
Cl 2.803 2.803 0.000
```



# 5
RbB2AuCl8 | PBE | relaxed

## Properties
For the uncorrected formation energy, the calculation gives -0.929 eV per atom. Its energy is -3.627 eV/atom. The density of states at the Fermi level is 0.0 states/eV/cell.

Structure (extended XYZ):
```
12
Lattice="3.087 1.782 9.393 -3.087 1.782 9.393 0.000 -3.564 9.393" Properties=species:S:1:pos:R:3 pbc="T T T"
Rb 0.000 0.000 0.000
B 0.000 0.000 6.980
B 0.000 0.000 21.199
Au 0.000 0.000 14.090
Cl -1.317 -1.846 12.401
Cl -2.257 0.218 15.778
Cl 0.000 0.000 8.845
Cl -0.940 2.064 12.401
Cl 0.940 -2.064 15.778
Cl 0.000 0.000 19.335
Cl 2.257 -0.218 12.401
Cl 1.317 1.846 15.778
```



# 6
BRhAuCl | PBE | relaxed

## Properties
Its energy above the most stable polymorph in this dataset is 58 meV/atom. For the uncorrected formation energy, the calculation gives -0.030 eV per atom. Its energy is -4.818 eV/atom. The density of states at the Fermi level is 0.1 states/eV/cell.

Structure (extended XYZ):
```
4
Lattice="3.231 0.000 0.000 -1.580 2.895 0.000 -0.468 -1.628 6.945" Properties=species:S:1:pos:R:3 pbc="T T T"
B 0.000 0.000 0.000
Rh 1.164 -0.618 6.123
Au 1.471 0.282 1.699
Cl 2.211 0.050 4.013
```